[1]
# CeSmGaSn, optimized geometry, DFT PBE
# Uncorrected energy: -4.84 eV/atom
# Crystal system: tetragonal
# ΔH_f (0 K): -1.7 eV per formula unit
# Offset from the most stable computed form: 0.101 eV/atom
# Total magnetization: 0.02 μB per cell
data_CeSmGaSn
_cell_length_a 4.284
_cell_length_b 4.284
_cell_length_c 11.395
_cell_angle_alpha 90.00
_cell_angle_beta 90.00
_cell_angle_gamma 90.00
_space_group_name_H-M_alt 'P 4/n m m'
_space_group_IT_number 129
loop_
_space_group_symop_operation_xyz
'x,y,z'
'-x,-y,-z'
'-y+1/2,x,z'
'y+1/2,-x,-z'
'-x+1/2,-y+1/2,z'
'x+1/2,y+1/2,-z'
'y,-x+1/2,z'
'-y,x+1/2,-z'
'x+1/2,-y,-z'
'-x+1/2,y,z'
'-y,-x,-z'
'y,x,z'
'-x,y+1/2,-z'
'x,-y+1/2,z'
'y+1/2,x+1/2,-z'
'-y+1/2,-x+1/2,z'
loop_
_atom_site_label
_atom_site_fract_x
_atom_site_fract_y
_atom_site_fract_z
Ce1 0.250 0.750 0.000
Sm1 0.250 0.250 0.278
Ga1 0.250 0.250 0.800
Sn1 0.250 0.250 0.554

[2]
# Ca2Ac5Ho, optimized geometry, DFT PBE
# Uncorrected energy: -3.60 eV/atom
# Crystal system: tetragonal
# ΔH_f (0 K): 0.3 eV per formula unit
# Total magnetization: 0.00 μB per cell
data_Ca2Ac5Ho
_cell_length_a 5.518
_cell_length_b 5.518
_cell_length_c 22.278
_cell_angle_alpha 90.00
_cell_angle_beta 90.00
_cell_angle_gamma 90.00
_space_group_name_H-M_alt 'I 4/m m m'
_space_group_IT_number 139
_space_group_name_Hall '-I 4 2'
loop_
_atom_site_label
_atom_site_fract_x
_atom_site_fract_y
_atom_site_fract_z
Ca1 0.000 0.000 0.249
Ac1 0.000 0.000 0.000
Ac2 0.000 0.500 0.121
Ho1 0.000 0.000 0.500

[3]
# Na3Sb5S12, optimized geometry, DFT PBE
# Uncorrected energy: -4.03 eV/atom
# Crystal system: cubic
# Total magnetization: 0.00 μB per cell
data_Na3Sb5S12
_cell_length_a 16.195
_cell_length_b 16.195
_cell_length_c 16.195
_cell_angle_alpha 90.00
_cell_angle_beta 90.00
_cell_angle_gamma 90.00
_space_group_name_H-M_alt 'I a -3 d'
_space_group_IT_number 230
_space_group_name_Hall '-I 4bd 2c 3'
loop_
_atom_site_label
_atom_site_fract_x
_atom_site_fract_y
_atom_site_fract_z
Na1 0.000 0.250 0.125
Sb1 0.000 0.000 0.000
Sb2 0.000 0.250 0.375
S1 0.030 0.061 0.654

[4]
# CdMoSe2, optimized geometry, DFT PBE
# Uncorrected energy: -3.97 eV/atom
# Crystal system: cubic
# Offset from the most stable computed form: 1.009 eV/atom
# Total magnetization: 10.09 μB per cell
data_CdMoSe2
_cell_length_a 6.877
_cell_length_b 6.877
_cell_length_c 6.877
_cell_angle_alpha 90.00
_cell_angle_beta 90.00
_cell_angle_gamma 90.00
_space_group_name_H-M_alt 'F -4 3 m'
_space_group_IT_number 216
_space_group_name_Hall 'F -4 2 3'
loop_
_atom_site_label
_atom_site_fract_x
_atom_site_fract_y
_atom_site_fract_z
Cd1 0.000 0.000 0.000
Mo1 0.250 0.250 0.250
Se1 0.000 0.000 0.500
Se2 0.250 0.250 0.750